Crystalline TmTiTe at its relaxed geometry. Source: Alexandria via LeMat-Bulk, functional PBE.

a b c (Å): 3.6201 3.6201 10.5279
angles (deg): 90.00 90.00 90.00
Element x y z (fractional)
Tm  0.2500  0.2500  0.1088
Tm  0.7500  0.7500  0.8912
Ti  0.2500  0.2500  0.4285
Ti  0.7500  0.7500  0.5715
Te  0.2500  0.2500  0.6991
Te  0.7500  0.7500  0.3009

For the energy above the most stable polymorph in this dataset, the calculation gives 0 meV/atom. Its crystal system is tetragonal. The value obtained for the uncorrected formation energy is -525 meV per atom. The calculation puts the density of states at the Fermi level at 3.190 states/eV/f.u. The total energy is -0.41854 Ry/atom.